[1]
A plane-wave DFT calculation with GGA-PBE was carried out for an optimized crystal structure of K2Cu.

Output
* formation energy: 8.19 kcal/mol of atoms
* energy: -1.742 eV per atom
* volume: 238 Å³/cell
* DOS at the Fermi energy: 0.560 states/eV/atom
* crystal system: hexagonal
* energy relative to the lowest polymorph listed for this composition: 46 meV/atom

Unit cell a=5.9505 b=5.9505 c=7.7473 alpha=90.00 beta=90.00 gamma=120.00
Space group P6_3/mmc (No. 194)
Asymmetric unit:
K (0.0000, 0.0000, 0.0000) [2 per cell]
K (0.3333, 0.6667, 0.2500) [2 per cell]
Cu (0.3333, 0.6667, 0.7500) [2 per cell]

[2]
A plane-wave DFT calculation with GGA-PBE was carried out for an optimized crystal structure of MoIrPd.

Output
* formation energy: -2.93 kcal/mol of atoms
* energy: -8.422 eV per atom
* volume: 182 Å³/cell
* DOS at the Fermi energy: 0.974 states/eV/atom
* crystal system: orthorhombic
* energy relative to the lowest polymorph listed for this composition: 0 meV/atom

Unit cell a=3.920 b=11.867 c=3.907 alpha=90.00 beta=90.00 gamma=90.00
Space group Cmcm (No. 63)
Asymmetric unit:
Mo (0.000, 0.079, 0.250) [4 per cell]
Ir (0.000, 0.423, 0.250) [4 per cell]
Pd (0.000, 0.252, 0.750) [4 per cell]

[3]
A plane-wave DFT calculation with GGA-PBE was carried out for an optimized crystal structure of Pm2Y3Ho8.

Output
* formation energy: 5.63 kcal/mol of atoms
* energy: -4.796 eV per atom
* volume: 871 Å³/cell
* DOS at the Fermi energy: 1.754 states/eV/atom
* crystal system: orthorhombic

Unit cell a=7.590 b=20.659 c=5.555 alpha=90.00 beta=90.00 gamma=90.00
Space group Cmmm (No. 65)
Asymmetric unit:
Pm (0.000, 0.241, 0.000) [4 per cell]
Y (0.000, 0.000, 0.000) [2 per cell]
Y (0.215, 0.500, 0.500) [4 per cell]
Ho (0.000, 0.131, 0.500) [4 per cell]
Ho (0.000, 0.337, 0.500) [4 per cell]
Ho (0.213, 0.392, 0.000) [8 per cell]